# Mo2OsBr (meta-GGA SCAN, single point on PBEsol structure)
# **Raw total energy**: -39.467 eV per atom
# **Volume**: 122 Å³ per cell
# **Raw formation energy**: 0.8104 eV per atom
# **Magnetization**: 0.00 μB/f.u.
data_Mo2OsBr
_cell_length_a 2.917
_cell_length_b 4.505
_cell_length_c 9.269
_cell_angle_alpha 90.00
_cell_angle_beta 90.00
_cell_angle_gamma 90.00
_symmetry_space_group_name_H-M 'I m m 2'
_symmetry_Int_Tables_number 44
loop_
_symmetry_equiv_pos_as_xyz
'x,y,z'
'-x,-y,z'
'-x,y,z'
'x,-y,z'
'x+1/2,y+1/2,z+1/2'
'-x+1/2,-y+1/2,z+1/2'
'-x+1/2,y+1/2,z+1/2'
'x+1/2,-y+1/2,z+1/2'
loop_
_atom_site_label
_atom_site_type_symbol
_atom_site_fract_x
_atom_site_fract_y
_atom_site_fract_z
_atom_site_occupancy
Mo1 Mo 0.000 0.000 0.000 1
Mo2 Mo 0.000 0.500 0.214 1
Os1 Os 0.000 0.500 0.747 1
Br1 Br 0.000 0.000 0.490 1